Record 1
# FeSNCl2 (PBE, optimized geometry)
data_FeSNCl2
_cell_length_a 4.555
_cell_length_b 4.555
_cell_length_c 4.237
_cell_angle_alpha 90.00
_cell_angle_beta 90.00
_cell_angle_gamma 90.00
_symmetry_space_group_name_H-M 'P 4/m m m'
_symmetry_Int_Tables_number 123
_symmetry_space_group_name_Hall '-P 4 2'
loop_
_atom_site_label
_atom_site_fract_x
_atom_site_fract_y
_atom_site_fract_z
Fe1 0.000 0.000 0.000
S1 0.000 0.000 0.500
N1 0.500 0.500 0.500
Cl1 0.000 0.500 0.000
# - ΔE to the lowest computed polymorph: 190 meV per atom
# - Formation energy from raw total energies: 1360 meV/atom
# - Crystal system: tetragonal
# - Calculated volume: 87.90 Å³/f.u.

Record 2
# LiHgRu2 (PBE, optimized geometry)
data_LiHgRu2
_cell_length_a 3.663
_cell_length_b 3.663
_cell_length_c 19.606
_cell_angle_alpha 90.00
_cell_angle_beta 90.00
_cell_angle_gamma 90.00
_symmetry_space_group_name_H-M 'I -4 2 d'
_symmetry_Int_Tables_number 122
_symmetry_space_group_name_Hall 'I -4 2bw'
loop_
_atom_site_label
_atom_site_fract_x
_atom_site_fract_y
_atom_site_fract_z
Li1 0.000 0.000 0.000
Hg1 0.000 0.000 0.500
Ru1 0.216 0.250 0.125
# - Energy relative to the elements: 2.047 eV/f.u.
# - Crystal system: tetragonal
# - Calculated volume: 65.77 Å³/f.u.

Record 3
# ReSiAg (PBE, optimized geometry)
data_ReSiAg
_cell_length_a 5.822
_cell_length_b 5.822
_cell_length_c 5.822
_cell_angle_alpha 90.00
_cell_angle_beta 90.00
_cell_angle_gamma 90.00
_symmetry_space_group_name_H-M 'F -4 3 m'
_symmetry_Int_Tables_number 216
_symmetry_space_group_name_Hall 'F -4 2 3'
loop_
_atom_site_label
_atom_site_fract_x
_atom_site_fract_y
_atom_site_fract_z
Re1 0.000 0.000 0.000
Si1 0.250 0.250 0.250
Ag1 0.000 0.000 0.500
# - ΔE to the lowest computed polymorph: 177 meV per atom
# - Formation energy from raw total energies: 466 meV/atom
# - Crystal system: cubic
# - Calculated volume: 49.33 Å³/f.u.

Record 4
# Pu3Th5Bi8 (PBE, optimized geometry)
data_Pu3Th5Bi8
_cell_length_a 9.1741
_cell_length_b 9.1741
_cell_length_c 22.4495
_cell_angle_alpha 90.00
_cell_angle_beta 90.00
_cell_angle_gamma 120.00
_symmetry_space_group_name_H-M 'R -3 m'
_symmetry_Int_Tables_number 166
_symmetry_space_group_name_Hall '-R 3 2"'
loop_
_atom_site_label
_atom_site_fract_x
_atom_site_fract_y
_atom_site_fract_z
Pu1 0.0000 0.5000 0.0000
Th1 0.0000 0.0000 0.0000
Th2 0.0000 0.0000 0.5000
Th3 0.0000 0.5000 0.5000
Bi1 0.0000 0.0000 0.2511
Bi2 0.0016 0.5008 0.2508
# - Energy relative to the elements: -8.391 eV/f.u.
# - Crystal system: trigonal
# - Calculated volume: 545.43 Å³/f.u.

Record 5
# Sr2VReN (PBE, optimized geometry)
data_Sr2VReN
_cell_length_a 5.351
_cell_length_b 5.351
_cell_length_c 3.805
_cell_angle_alpha 90.00
_cell_angle_beta 90.00
_cell_angle_gamma 90.00
_symmetry_space_group_name_H-M 'P 4/m m m'
_symmetry_Int_Tables_number 123
_symmetry_space_group_name_Hall '-P 4 2'
loop_
_atom_site_label
_atom_site_fract_x
_atom_site_fract_y
_atom_site_fract_z
Sr1 0.000 0.500 0.000
V1 0.000 0.000 0.500
Re1 0.500 0.500 0.500
N1 0.000 0.000 0.000
# - Formation energy from raw total energies: 543 meV/atom
# - Crystal system: tetragonal
# - Calculated volume: 108.93 Å³/f.u.

Record 6
# Tb5Hg (PBE, optimized geometry)
data_Tb5Hg
_cell_length_a 12.267
_cell_length_b 3.745
_cell_length_c 8.520
_cell_angle_alpha 90.00
_cell_angle_beta 112.17
_cell_angle_gamma 90.00
_symmetry_space_group_name_H-M 'C 1 m 1'
_symmetry_Int_Tables_number 8
_symmetry_space_group_name_Hall 'C -2y'
loop_
_atom_site_label
_atom_site_fract_x
_atom_site_fract_y
_atom_site_fract_z
Tb1 0.000 0.000 0.000
Tb2 0.025 0.000 0.453
Tb3 0.170 0.500 0.808
Tb4 0.315 0.000 0.164
Tb5 0.340 0.000 0.617
Hg1 0.170 0.500 0.309
# - ΔE to the lowest computed polymorph: 13 meV per atom
# - Energy relative to the elements: -0.792 eV/f.u.
# - Crystal system: monoclinic
# - Calculated volume: 181.25 Å³/f.u.

Number 1: total magnetic moment 0.0 μB/f.u.. Number 2: total magnetic moment 0.0 μB/f.u.. Number 3: total magnetic moment 0.0 μB/f.u.. Number 4: total magnetic moment 17.5 μB/f.u.. Number 5: total magnetic moment 2.4 μB/f.u.. Number 6: total magnetic moment 0.0 μB/f.u..